The following is a PBE calculation of a geometry-optimized CsPuCl4 structure, from Alexandria.

Computed properties:
* density: 3902 kg/m³
* uncorrected energy: -34.308 eV/f.u.

```
CsPuCl4
1.0
7.177 0.000 -0.328
0.000 7.390 0.000
-0.012 0.000 8.325
Cl Pu Cs
8 2 2
Cartesian
3.152 6.684 1.476
1.307 6.055 4.820
2.269 2.359 3.341
4.014 0.707 6.521
5.858 1.336 3.177
6.740 4.402 1.313
0.425 2.989 6.684
4.896 5.031 4.656
3.583 0.000 3.998
-0.006 3.695 4.162
0.000 0.000 0.000
3.589 3.695 -0.164
```